Entry from Alexandria via LeMat-Bulk: a geometry-optimized PrDyN2 structure (PBE).

```
4
Lattice="3.520 0.000 0.000 1.760 3.049 0.000 1.760 1.016 6.122" Properties=species:S:1:pos:R:3 pbc="T T T"
Pr 5.281 3.049 6.015
N 1.760 1.016 4.608
Dy 3.520 2.033 3.023
N 1.760 1.016 1.660
```

Output
Total magnetic moment ... 0.0 μB/f.u.
VASP energy ... -30.92 eV per cell
E_form (uncorrected) ... -1.222 eV per atom